1.
# PBE AcNd2Lu, relaxed
data_AcNd2Lu
_space_group_name_H-M_alt 'P 4/m m m'
_space_group_IT_number 123
_space_group_name_Hall '-P 4 2'
_cell_length_a 5.2091
_cell_length_b 5.2091
_cell_length_c 5.2661
_cell_angle_alpha 90.00
_cell_angle_beta 90.00
_cell_angle_gamma 90.00
loop_
_atom_site_label
_atom_site_type_symbol
_atom_site_fract_x
_atom_site_fract_y
_atom_site_fract_z
_atom_site_occupancy
Ac1 Ac 0.0000 0.0000 0.0000 1
Nd1 Nd 0.0000 0.5000 0.5000 1
Lu1 Lu 0.5000 0.5000 0.0000 1
# ΔH_f (0 K) ... 0.036 eV/atom
# V ... 142.9 Å³/f.u.
# DFT total energy ... -18.020 eV/f.u.

2.
# PBE CrTe2As, relaxed
data_CrTe2As
_space_group_name_H-M_alt 'I m m 2'
_space_group_IT_number 44
_cell_length_a 3.6799
_cell_length_b 4.6784
_cell_length_c 11.8282
_cell_angle_alpha 90.00
_cell_angle_beta 90.00
_cell_angle_gamma 90.00
loop_
_space_group_symop_operation_xyz
'x,y,z'
'-x,-y,z'
'-x,y,z'
'x,-y,z'
'x+1/2,y+1/2,z+1/2'
'-x+1/2,-y+1/2,z+1/2'
'-x+1/2,y+1/2,z+1/2'
'x+1/2,-y+1/2,z+1/2'
loop_
_atom_site_label
_atom_site_type_symbol
_atom_site_fract_x
_atom_site_fract_y
_atom_site_fract_z
_atom_site_occupancy
Cr1 Cr 0.0000 0.0000 0.0000 1
Te1 Te 0.0000 0.0000 0.4833 1
Te2 Te 0.0000 0.5000 0.6742 1
As1 As 0.0000 0.5000 0.3426 1
# Raw formation energy ... 0.1808 eV per atom
# V ... 101.8 Å³/f.u.
# DFT total energy ... -19.833 eV/f.u.

3.
# PBE Ta2OsW, relaxed
data_Ta2OsW
_space_group_name_H-M_alt 'F m -3 m'
_space_group_IT_number 225
_space_group_name_Hall '-F 4 2 3'
_cell_length_a 6.4214
_cell_length_b 6.4214
_cell_length_c 6.4214
_cell_angle_alpha 90.00
_cell_angle_beta 90.00
_cell_angle_gamma 90.00
loop_
_atom_site_label
_atom_site_type_symbol
_atom_site_fract_x
_atom_site_fract_y
_atom_site_fract_z
_atom_site_occupancy
Ta1 Ta 0.2500 0.2500 0.2500 1
Os1 Os 0.0000 0.0000 0.0000 1
W1 W 0.0000 0.0000 0.5000 1
# ΔH_f (0 K) ... -0.299 eV/atom
# V ... 66.2 Å³/f.u.
# DFT total energy ... -49.082 eV/f.u.

4.
# PBE BaGdZn4, relaxed
data_BaGdZn4
_space_group_name_H-M_alt 'F -4 3 m'
_space_group_IT_number 216
_space_group_name_Hall 'F -4 2 3'
_cell_length_a 8.1329
_cell_length_b 8.1329
_cell_length_c 8.1329
_cell_angle_alpha 90.00
_cell_angle_beta 90.00
_cell_angle_gamma 90.00
loop_
_atom_site_label
_atom_site_type_symbol
_atom_site_fract_x
_atom_site_fract_y
_atom_site_fract_z
_atom_site_occupancy
Ba1 Ba 0.0000 0.0000 0.0000 1
Gd1 Gd 0.2500 0.2500 0.7500 1
Zn1 Zn 0.1230 0.1230 0.3770 1
# ΔH_f (0 K) ... -0.142 eV/atom
# V ... 134.5 Å³/f.u.
# DFT total energy ... -21.950 eV/f.u.